# MgZrW

Crystalline MgZrW at its relaxed geometry (GGA-PBE, Alexandria).

Cell: 7.7155 7.5604 2.8790 Å, 82.19 76.12 21.70°
Sites, in units of the cell vectors:
Mg 0.0000 0.0000 0.0000
Zr 0.6886 0.6886 0.3114
W 0.3420 0.3420 0.6580

Mass density, Mg/m³: 8.5
Energy relative to the elements, eV per atom: 0.268
Size of the total moment, μB/cell: 0.00
DOS(E_F), states/eV/atom: 1.1434

***

# Rb2TcF6

Crystalline Rb2TcF6 at its relaxed geometry (GGA-PBE, Alexandria).

Cell: 6.2445 6.2445 6.2445 Å, 60.00 60.00 60.00°
Sites, in units of the cell vectors:
Rb 0.2500 0.2500 0.2500
Rb 0.7500 0.7500 0.7500
Tc 0.0000 0.0000 0.0000
F 0.2228 0.2228 0.7772
F 0.2228 0.7772 0.2228
F 0.2228 0.7772 0.7772
F 0.7772 0.2228 0.2228
F 0.7772 0.2228 0.7772
F 0.7772 0.7772 0.2228

Mass density, Mg/m³: 3.7
Raw total energy, eV for the cell shown: -46.5
Size of the total moment, μB/cell: 3.00
DOS(E_F), states/eV/atom: 0.0000